(1)
Below is an optimized crystal structure of BiCO3, with properties calculated at the PBE level.

```
BiCO3
1.0
3.4904 0.3927 0.0000
0.5760 8.8670 0.0000
0.0000 0.0000 6.5758
Bi C O
2 2 6
Direct
0.4993 0.4872 0.2500
0.5007 0.5128 0.7500
0.0000 0.0000 0.0000
0.0000 0.0000 0.5000
0.7680 0.1110 0.4749
0.2320 0.8890 0.5251
0.2320 0.8890 0.9749
0.7680 0.1110 0.0251
0.9352 0.6311 0.2500
0.0648 0.3689 0.7500
```

Uncorrected energy ... -6.55 eV/atom
Space-group type ... No. 11
Total magnetization ... 0.0 μB/cell
Formation energy (no corrections) ... -0.950 eV per atom

---

(2)
Below is an optimized crystal structure of BiCO2, with properties calculated at the PBE level.

```
BiCO2
1.0
0.0000 2.8799 2.8799
2.8799 0.0000 2.8799
2.8799 2.8799 0.0000
C Bi O
1 1 2
Direct
0.0000 0.0000 0.0000
0.5000 0.5000 0.5000
0.2500 0.2500 0.2500
0.7500 0.7500 0.7500
```

Uncorrected energy ... -4.75 eV/atom
Space-group type ... No. 225
Total magnetization ... 0.0 μB/cell
Formation energy (no corrections) ... 1.005 eV per atom

---

(3)
Below is an optimized crystal structure of BiC2O2, with properties calculated at the PBE level.

```
BiC2O2
1.0
4.2628 0.0000 0.0000
0.0000 4.2628 0.0000
2.1314 2.1314 3.1579
C Bi O
2 1 2
Direct
0.3947 0.3947 0.2106
0.6053 0.6053 0.7894
0.0000 0.0000 0.0000
0.7500 0.2500 0.5000
0.2500 0.7500 0.5000
```

Uncorrected energy ... -5.19 eV/atom
Space-group type ... No. 139
Total magnetization ... 0.0 μB/cell
Formation energy (no corrections) ... 1.260 eV per atom

---

(4)
Below is an optimized crystal structure of Bi2CO5, with properties calculated at the PBE level.

```
Bi2CO5
1.0
1.8082 -7.3098 -0.0136
5.0414 -4.2105 3.6822
-5.6889 4.9288 -0.2179
Bi C O
2 1 5
Direct
0.1958 0.6958 0.5000
0.5206 0.0206 0.5000
0.8408 0.3408 0.5000
0.9337 0.4337 0.5000
0.0366 0.2933 0.7433
0.0897 0.0897 0.0000
0.6151 0.6151 0.0000
0.5500 0.2933 0.2567
```

Uncorrected energy ... -6.45 eV/atom
Space-group type ... No. 44
Total magnetization ... 0.0 μB/cell
Formation energy (no corrections) ... -1.233 eV per atom

---

(5)
Below is an optimized crystal structure of BiC3O, with properties calculated at the PBE level.

```
BiC3O
1.0
-0.2759 -0.6743 3.7984
0.1152 -3.8078 -0.6676
3.8560 0.0655 0.2917
C Bi O
3 1 1
Direct
0.0000 0.5000 0.0000
0.0000 0.0000 0.5000
0.5000 0.0000 0.0000
0.5000 0.5000 0.5000
0.0000 0.0000 0.0000
```

Uncorrected energy ... -4.45 eV/atom
Space-group type ... No. 221
Total magnetization ... 0.5 μB/cell
Formation energy (no corrections) ... 2.849 eV per atom

---

(6)
Below is an optimized crystal structure of BiCO2, with properties calculated at the PBE level.

```
BiCO2
1.0
-4.2138 1.1093 -2.8343
2.2575 -2.1076 -4.1811
-2.4311 -3.7875 -2.6346
C Bi O
2 2 4
Direct
0.5000 0.5000 0.0000
0.2500 0.7500 0.5000
0.0000 0.0000 0.0000
0.7500 0.2500 0.5000
0.3752 0.1250 0.2500
0.3748 0.6250 0.2500
0.3750 0.6248 0.7500
0.8750 0.6252 0.7500
```

Uncorrected energy ... -5.23 eV/atom
Space-group type ... No. 141
Total magnetization ... 0.0 μB/cell
Formation energy (no corrections) ... 0.526 eV per atom

---

(7)
Below is an optimized crystal structure of BiCO2, with properties calculated at the PBE level.

```
BiCO2
1.0
-6.3938 1.5463 1.1898
-6.3843 -1.5280 1.2625
-5.5350 0.0714 3.7479
C Bi O
1 1 2
Direct
0.5000 0.5000 0.5000
0.0000 0.0000 0.0000
0.8820 0.8820 0.8820
0.1180 0.1180 0.1180
```

Uncorrected energy ... -4.65 eV/atom
Space-group type ... No. 166
Total magnetization ... 0.0 μB/cell
Formation energy (no corrections) ... 1.106 eV per atom

---

(8)
Below is an optimized crystal structure of BiCO3, with properties calculated at the PBE level.

```
BiCO3
1.0
4.1336 0.0000 0.0000
0.0000 4.1336 0.0000
0.0000 0.0000 4.1336
C Bi O
1 1 3
Direct
0.5000 0.5000 0.5000
0.0000 0.0000 0.0000
0.0000 0.5000 0.0000
0.0000 0.0000 0.5000
0.5000 0.0000 0.0000
```

Uncorrected energy ... -4.43 eV/atom
Space-group type ... No. 221
Total magnetization ... 0.8 μB/cell
Formation energy (no corrections) ... 1.161 eV per atom